No. 1
Material: Sm3ThMg2
Method: DFT, PBE
State: relaxed

The structure belongs to space group P4/mmm (No. 123); the cell edges are 3.6515, 3.6515 and 13.5419 Å and the angles 90.00°, 90.00° and 90.00°. The distinct sites, in fractional coordinates, are Sm at (0.0000, 0.0000, 0.0000), Sm at (0.0000, 0.0000, 0.3227), Th at (0.5000, 0.5000, 0.5000) and Mg at (0.5000, 0.5000, 0.1593).

For the electronic total energy, the calculation gives -4.184 eV/atom. Its total magnetic moment is 0.21 μB per formula unit. The energy of formation is -0.34 eV/f.u.

---

No. 2
Material: SmThMg4
Method: DFT, PBE
State: relaxed

The structure belongs to space group P2_1/m (No. 11); the cell edges are 6.6723, 5.2631 and 9.7081 Å and the angles 90.00°, 109.92° and 90.00°. The distinct sites, in fractional coordinates, are Sm at (0.1269, 0.2500, 0.2546), Th at (0.3767, 0.7500, 0.7546), Mg at (0.0422, 0.2500, 0.5838), Mg at (0.2074, 0.2500, 0.9170), Mg at (0.2927, 0.7500, 0.0836) and Mg at (0.4594, 0.7500, 0.4165).

For the electronic total energy, the calculation gives -3.108 eV/atom. Its total magnetic moment is 0.00 μB per formula unit. The energy of formation is -0.13 eV/f.u.

---

No. 3
Material: SmThMg2
Method: DFT, PBE
State: relaxed

The structure belongs to space group Fm-3m (No. 225); the cell edges are 7.6822, 7.6822 and 7.6822 Å and the angles 90.00°, 90.00° and 90.00°. The distinct sites, in fractional coordinates, are Sm at (0.0000, 0.0000, 0.0000), Th at (0.0000, 0.0000, 0.5000) and Mg at (0.2500, 0.2500, 0.2500).

For the electronic total energy, the calculation gives -3.827 eV/atom. Its total magnetic moment is 0.00 μB per formula unit. The energy of formation is 0.02 eV/f.u.

---

No. 4
Material: Sm2ThMg
Method: DFT, PBE
State: relaxed

The structure belongs to space group R-3m (No. 166, hexagonal axes); the cell edges are 3.5241, 3.5241 and 36.9545 Å and the angles 90.00°, 90.00° and 120.00°. The distinct sites, in fractional coordinates, are Sm at (0.0000, 0.0000, 0.0898), Th at (0.0000, 0.0000, 0.5000) and Mg at (0.0000, 0.0000, 0.0000).

For the electronic total energy, the calculation gives -4.424 eV/atom. Its total magnetic moment is 0.00 μB per formula unit. The energy of formation is 0.76 eV/f.u.